1.
A geometry-optimized Tb4Dy3Y5 structure. Source: Alexandria, functional PBE.

Cell: 6.1646 7.1238 8.7134 Å, 90.02 90.07 90.11°
Last column: nearest neighbours and their distance in Å.
Fractional positions:
Tb1 0.1669 0.0001 0.1650  4 Tb 3.53-3.56, 3 Dy 3.55-3.56, 5 Y 3.56-3.57
Tb2 0.3335 0.2494 0.8328  5 Y 3.55-3.57, 3 Tb 3.55-3.56, 4 Dy 3.56-3.57
Tb3 0.6665 0.7506 0.1672  5 Y 3.55-3.57, 3 Tb 3.55-3.56, 4 Dy 3.56-3.57
Tb4 0.8331 0.9999 0.8350  4 Tb 3.53-3.56, 3 Dy 3.55-3.56, 5 Y 3.56-3.57
Dy1 0.3334 0.7503 0.8328  5 Y 3.55-3.57, 6 Tb 3.55-3.57, 1 Dy 3.56
Dy2 0.5000 0.5000 0.5000  8 Y 3.55-3.56, 2 Dy 3.56, 2 Tb 3.56
Dy3 0.6666 0.2497 0.1672  5 Y 3.55-3.57, 6 Tb 3.55-3.57, 1 Dy 3.56
Y1 0.9998 0.2503 0.5000  3 Dy 3.55-3.56, 3 Tb 3.55-3.57, 6 Y 3.56-3.57
Y2 0.0002 0.7497 0.5000  3 Dy 3.55-3.56, 3 Tb 3.55-3.57, 6 Y 3.56-3.57
Y3 0.1684 0.5002 0.1663  5 Tb 3.55-3.57, 4 Dy 3.55-3.57, 3 Y 3.56
Y4 0.5000 0.0000 0.5000  4 Tb 3.55-3.57, 4 Dy 3.55-3.56, 4 Y 3.56-3.57
Y5 0.8316 0.4998 0.8337  5 Tb 3.55-3.57, 4 Dy 3.55-3.57, 3 Y 3.56

Calculated values
The total DFT energy (no corrections) is -5.37 eV per atom. For the excess energy over the best structure of this formula in the dataset, the calculation gives 0.000 eV per atom.

2.
A geometry-optimized TbDy6Y5 structure. Source: Alexandria, functional PBE.

Cell: 6.1562 6.1562 11.7852 Å, 94.98 94.98 119.96°
Last column: nearest neighbours and their distance in Å.
Fractional positions:
Tb1 0.0000 0.0000 0.0000  6 Dy 3.55, 6 Y 3.55-3.56
Dy1 0.0829 0.4155 0.2499  6 Dy 3.55-3.56, 1 Tb 3.55, 5 Y 3.55-3.56
Dy2 0.2500 0.2500 0.7502  6 Dy 3.55-3.56, 1 Tb 3.55, 5 Y 3.55-3.56
Dy3 0.4155 0.0829 0.2499  6 Dy 3.55-3.56, 1 Tb 3.55, 5 Y 3.55-3.56
Dy4 0.5845 0.9171 0.7501  6 Dy 3.55-3.56, 1 Tb 3.55, 5 Y 3.55-3.56
Dy5 0.7500 0.7500 0.2498  6 Dy 3.55-3.56, 1 Tb 3.55, 5 Y 3.55-3.56
Dy6 0.9171 0.5845 0.7501  6 Dy 3.55-3.56, 1 Tb 3.55, 5 Y 3.55-3.56
Y1 0.1667 0.8333 0.5000  6 Dy 3.55-3.56, 6 Y 3.55-3.56
Y2 0.3333 0.6667 0.0000  3 Tb 3.55-3.56, 6 Dy 3.55-3.56, 3 Y 3.55-3.56
Y3 0.5000 0.5000 0.5000  6 Y 3.55-3.56, 6 Dy 3.55-3.56
Y4 0.6667 0.3333 0.0000  3 Tb 3.55-3.56, 6 Dy 3.55-3.56, 3 Y 3.55-3.56
Y5 0.8333 0.1667 0.5000  6 Dy 3.55-3.56, 6 Y 3.55-3.56

Calculated values
The total DFT energy (no corrections) is -5.36 eV per atom.

Calculated formation energy
In order: 0.019 0.020
Unit: eV per atom